Compound: La2BeAlW
Source: Alexandria
Functional: GGA-PBE
Structure: optimized geometry

```
data_La2BeAlW
_chemical_formula_sum 'La2 Be1 Al1 W1'
_cell_length_a 5.6752
_cell_length_b 5.6752
_cell_length_c 4.6960
_cell_angle_alpha 90.00
_cell_angle_beta 90.00
_cell_angle_gamma 90.00
_space_group_name_H-M_alt 'P 4/m m m'
_space_group_IT_number 123
_space_group_name_Hall '-P 4 2'
loop_
_atom_site_label
_atom_site_fract_x
_atom_site_fract_y
_atom_site_fract_z
La1 0.0000 0.5000 0.0000
Be1 0.0000 0.0000 0.5000
Al1 0.5000 0.5000 0.0000
W1 0.5000 0.5000 0.5000
```

* magnetic moment: 1.53 Bohr magnetons per cell
* energy of formation from the pure elements: 1.168 eV per atom
* E_tot: -4.89 eV per atom